Entry 1:
! BC2 | Alexandria | GGA-PBE | relaxed; values from VASP
&SYSTEM
  ibrav = 0, nat = 12, ntyp = 2
/
ATOMIC_SPECIES
B 10.81 B.upf
C 12.01 C.upf
CELL_PARAMETERS angstrom
2.6262 0.0000 0.0000
-1.3131 2.2744 0.0000
0.0000 0.0000 14.5070
ATOMIC_POSITIONS angstrom
B 0.0000 0.0000 1.8474
B 0.0000 0.0000 12.6596
B 0.0000 1.5163 8.6612
B 1.3131 0.7581 5.8458
C 0.0000 0.0000 6.5492
C 0.0000 0.0000 7.9579
C 0.0000 1.5163 2.0559
C 0.0000 1.5163 3.7308
C 0.0000 1.5163 10.2768
C 1.3131 0.7581 4.2302
C 1.3131 0.7581 10.7762
C 1.3131 0.7581 12.4511
! Energy relative to the lowest polymorph listed for this composition ... 0.083 eV/atom
! Total energy ... -96.62 eV/cell
! SG ... P-3m1 (164)
! Fermi-level density of states ... 0.152 states/eV per atom
! Formation energy ... 0.323 eV/atom

***

Entry 2:
! Nd3ThSi4 | Alexandria | GGA-PBE | relaxed; values from VASP
&SYSTEM
  ibrav = 0, nat = 8, ntyp = 3
/
ATOMIC_SPECIES
Nd 144.24 Nd.upf
Th 232.04 Th.upf
Si 28.09 Si.upf
CELL_PARAMETERS angstrom
-2.0781 3.2254 8.0286
2.0781 -3.2254 8.0286
2.0781 3.2254 -8.0286
ATOMIC_POSITIONS angstrom
Nd 0.0000 0.0000 0.0000
Nd 2.0781 0.0000 4.9266
Nd 0.0000 3.2254 3.1019
Th 0.0000 0.0000 8.0286
Si 2.0781 1.1709 -2.1117
Si 2.0781 1.1709 2.1117
Si 0.0000 2.0545 5.9168
Si 0.0000 2.0545 10.1403
! Raw formation energy ... -0.4988 eV/atom
! Total energy ... -47.41 eV/cell
! SG ... Immm (71)
! Fermi-level density of states ... 0.683 states/eV per atom

***

Entry 3:
! LiTiSn2 | Alexandria | GGA-PBE | relaxed; values from VASP
&SYSTEM
  ibrav = 0, nat = 4, ntyp = 3
/
ATOMIC_SPECIES
Li 6.94 Li.upf
Ti 47.87 Ti.upf
Sn 118.71 Sn.upf
CELL_PARAMETERS angstrom
1.6065 0.9275 10.0936
-1.6065 0.9275 10.0936
0.0000 -1.8551 10.0936
ATOMIC_POSITIONS angstrom
Li 0.0000 0.0000 0.0000
Ti 0.0000 0.0000 15.1404
Sn 0.0000 0.0000 2.7158
Sn 0.0000 0.0000 27.5650
! Energy relative to the lowest polymorph listed for this composition ... 0.143 eV/atom
! Total energy ... -18.16 eV/cell
! SG ... R-3m (166)
! Fermi-level density of states ... 0.826 states/eV per atom
! Formation energy ... -0.088 eV/atom